[1]
Density functional theory data (GGA-PBE) for ScReBr2 after structural relaxation.

Cell: 3.1982 3.1982 26.7919 Å, 90.00 90.00 120.00°
With the nearest neighbours (Å) after each atom.
Fractional coordinates of all 12 atoms:
1 Sc 0.0000 0.0000 0.0000  6 Br 2.71
2 Sc 0.3333 0.6667 0.6667  6 Br 2.71
3 Sc 0.6667 0.3333 0.3333  6 Br 2.71
4 Re 0.0000 0.0000 0.5000  2 Br 2.49
5 Re 0.3333 0.6667 0.1667  2 Br 2.49
6 Re 0.6667 0.3333 0.8333  2 Br 2.49
7 Br 0.0000 0.0000 0.4072  1 Re 2.49, 3 Sc 2.71
8 Br 0.0000 0.0000 0.5928  1 Re 2.49, 3 Sc 2.71
9 Br 0.3333 0.6667 0.0739  1 Re 2.49, 3 Sc 2.71
10 Br 0.3333 0.6667 0.2594  1 Re 2.49, 3 Sc 2.71
11 Br 0.6667 0.3333 0.7406  1 Re 2.49, 3 Sc 2.71
12 Br 0.6667 0.3333 0.9261  1 Re 2.49, 3 Sc 2.71

Calculated values
space-group type	R-3m (166)
magnetization	0.2	μB per formula unit
formation energy without anion corrections	0.188	eV per atom
final energy	-64.1	eV for the cell shown

---

[2]
Density functional theory data (GGA-PBE) for ScReBr2 after structural relaxation.

Cell: 3.2249 3.2249 9.7888 Å, 90.00 90.00 90.00°
With the nearest neighbours (Å) after each atom.
Fractional coordinates of all 4 atoms:
1 Sc 0.0000 0.0000 0.0000  8 Br 2.83
2 Re 0.0000 0.0000 0.5000  4 Re 3.22
3 Br 0.5000 0.5000 0.1708  4 Sc 2.83
4 Br 0.5000 0.5000 0.8292  4 Sc 2.83

Calculated values
space-group type	P4/mmm (123)
magnetization	4.0	μB per formula unit
formation energy without anion corrections	0.504	eV per atom
final energy	-20.1	eV for the cell shown